*w*
This record from the Alexandria database describes crystalline YTl2Cd at its relaxed geometry. The functional is GGA-PBEsol.

POSCAR file:
```
YTl2Cd
1.0
-0.862 2.873 -1.706
-2.268 -0.150 -2.596
-8.522 2.488 5.008
Tl Cd Y
2 1 1
direct
0.253 0.253 0.240 Tl
0.747 0.747 0.760 Tl
0.000 0.000 0.000 Cd
0.500 0.500 0.500 Y
```

Symmetry: R-3m

***

*x*
This record from the Alexandria database describes crystalline YTl2Cd at its relaxed geometry. The functional is GGA-PBEsol.

POSCAR file:
```
YTl2Cd
1.0
-1.505 3.277 2.617
-2.893 1.367 -3.375
-3.285 -2.839 1.666
Tl Y Cd
2 1 1
direct
0.000 0.000 0.500 Tl
0.000 0.500 0.000 Tl
0.500 0.500 0.500 Y
0.500 0.000 0.000 Cd
```

Symmetry: P4/mmm

***

Short version: *w* is the least stable of them.

***

*w*
This record from the Alexandria database describes crystalline TlZnCd2 at its relaxed geometry. The functional is GGA-PBEsol.

POSCAR file:
```
TlZnCd2
1.0
-2.536 -1.394 3.548
-0.648 -3.791 -1.953
3.532 -1.584 1.902
Zn Cd Tl
1 2 1
direct
0.500 0.000 0.000 Zn
0.000 0.000 0.500 Cd
0.000 0.500 0.000 Cd
0.500 0.500 0.500 Tl
```

Symmetry: P4/mmm

***

*x*
This record from the Alexandria database describes crystalline TlZnCd2 at its relaxed geometry. The functional is GGA-PBEsol.

POSCAR file:
```
TlZnCd2
1.0
-1.707 3.142 -0.496
-4.052 -2.357 -0.987
-1.246 0.095 4.889
Cd Tl Zn
2 1 1
direct
0.000 0.000 0.000 Cd
0.500 0.500 0.000 Cd
0.500 0.000 0.500 Tl
0.000 0.500 0.500 Zn
```

Symmetry: Pmmm

***

Short version: *x* is the least stable of them.